CoReP2 after structural relaxation, computed with PBE.

```
data_CoReP2
_chemical_formula_sum 'Co3 Re3 P6'
_space_group_name_H-M_alt 'R -3 m'
_space_group_IT_number 166
_space_group_name_Hall '-R 3 2"'
_cell_length_a 2.8841
_cell_length_b 2.8841
_cell_length_c 21.1499
_cell_angle_alpha 90.00
_cell_angle_beta 90.00
_cell_angle_gamma 120.00
loop_
_atom_site_label
_atom_site_type_symbol
_atom_site_fract_x
_atom_site_fract_y
_atom_site_fract_z
Co1 Co 0.0000 0.0000 0.0000
Re1 Re 0.0000 0.0000 0.5000
P1 P 0.0000 0.0000 0.2538
```

Computed properties:
**Total DFT energy (no corrections)**: -0.28210 hartree per atom
**D(E_F)**: 2.6 states/eV/f.u.
**Calculated volume**: 12.70 Å³/atom
**Energy of formation from the pure elements**: -0.0830 eV/atom